## Na2Mg3ZnSn4 (GGA-PBE)

Data for a relaxed structure of Na2Mg3ZnSn4.

Lattice parameters (Å, degrees): 4.524 4.524 13.080 90.00 90.00 90.00
Positions (direct):
Na 0.000 0.500 0.219
Na 0.500 0.000 0.781
Mg 0.000 0.000 0.000
Mg 0.000 0.500 0.651
Mg 0.500 0.000 0.349
Zn 0.500 0.500 0.000
Sn 0.000 0.000 0.500
Sn 0.000 0.500 0.865
Sn 0.500 0.000 0.135
Sn 0.500 0.500 0.500

Energy of formation from the pure elements ... -125 meV per atom
Symmetry ... No. 115
Total magnetic moment ... 0.0 μB per cell